5
Lattice="5.152 0.000 0.000 0.000 5.152 0.000 0.000 0.000 4.783" Properties=species:S:1:pos:R:3 comment="PBE La2YPbO, optimized geometry" total_energy_ev_per_atom=-6.42 m_tot_mub_per_cell=0.00 density_g_cm3=7.72 pbc="T T T"
La 0.000 2.576 0.000
La 2.576 0.000 0.000
Y 0.000 0.000 2.391
Pb 2.576 2.576 2.391
O 0.000 0.000 0.000


12
Lattice="-2.840 2.840 5.422 2.840 -2.840 5.422 2.840 2.840 -5.422" Properties=species:S:1:pos:R:3 comment="PBE LaYPb2O8, optimized geometry" total_energy_ev_per_atom=-6.61 m_tot_mub_per_cell=2.04 density_g_cm3=7.31 pbc="T T T"
La 0.000 0.000 0.000
Y 0.000 2.840 2.711
Pb 2.840 0.000 2.711
Pb 0.000 0.000 5.422
O 1.628 -1.422 3.730
O 1.730 1.377 -1.092
O 1.418 1.211 1.691
O 1.462 -1.110 6.513
O 1.211 4.262 -1.691
O 1.110 1.462 4.330
O 1.377 3.950 1.092
O 1.422 1.628 7.113


5
Lattice="-1.976 1.976 7.260 1.976 -1.976 7.260 1.976 1.976 -7.260" Properties=species:S:1:pos:R:3 comment="PBE LaYPbO2, optimized geometry" total_energy_ev_per_atom=-7.53 m_tot_mub_per_cell=0.00 density_g_cm3=6.84 pbc="T T T"
La 0.000 0.000 0.000
Y 0.000 0.000 4.906
Pb 0.000 0.000 9.748
O 1.976 0.000 5.986
O 0.000 1.976 5.986


5
Lattice="4.303 0.000 0.000 0.000 4.303 0.000 0.000 0.000 6.730" Properties=species:S:1:pos:R:3 comment="PBE LaZrPbO2, optimized geometry" total_energy_ev_per_atom=-6.45 m_tot_mub_per_cell=0.33 density_g_cm3=6.25 pbc="T T T"
La 0.000 0.000 0.000
Zr 0.000 0.000 3.365
Pb 2.152 2.152 0.000
O 0.000 2.152 3.365
O 2.152 0.000 3.365


What did the fourth record say?
5
Lattice="4.303 0.000 0.000 0.000 4.303 0.000 0.000 0.000 6.730" Properties=species:S:1:pos:R:3 comment="PBE LaZrPbO2, optimized geometry" total_energy_ev_per_atom=-6.45 m_tot_mub_per_cell=0.33 density_g_cm3=6.25 pbc="T T T"
La 0.000 0.000 0.000
Zr 0.000 0.000 3.365
Pb 2.152 2.152 0.000
O 0.000 2.152 3.365
O 2.152 0.000 3.365